5
Lattice="-2.479 2.481 6.477 2.479 -2.481 6.477 2.479 2.481 -6.477" Properties=species:S:1:pos:R:3 comment="KTlCdIn2, relaxed, DFT PBE" e_form_ev_per_atom=-0.084 magmom_total_mub_per_atom=0.00 polymorph_energy_ev_per_atom=0.000 pbc="T T T"
K 0.000 0.000 0.000
Tl 2.479 0.000 3.162
Cd 0.000 0.000 7.877
In 0.000 0.000 5.005
In 0.000 2.481 3.200



5
Lattice="5.889 0.000 0.000 0.000 5.889 0.000 0.000 0.000 5.783" Properties=species:S:1:pos:R:3 comment="KTlCdIn2, relaxed, DFT PBE" e_form_ev_per_atom=0.225 magmom_total_mub_per_atom=0.00 polymorph_energy_ev_per_atom=0.309 pbc="T T T"
K 0.000 0.000 0.000
Tl 2.945 2.945 2.891
Cd 2.945 2.945 0.000
In 0.000 2.945 2.891
In 2.945 0.000 2.891



20
Lattice="12.137 0.000 0.000 0.000 12.137 0.000 0.000 0.000 4.399" Properties=species:S:1:pos:R:3 comment="K2Tl5Cd2In, relaxed, DFT PBE" e_form_ev_per_atom=-0.034 magmom_total_mub_per_atom=0.00 pbc="T T T"
K 2.135 3.934 0.000
K 3.934 10.002 0.000
K 8.203 2.135 0.000
K 10.002 8.203 0.000
Tl 0.000 6.068 2.200
Tl 0.675 9.799 2.200
Tl 2.338 0.675 2.200
Tl 3.730 6.744 2.200
Tl 5.393 3.730 2.200
Tl 6.068 0.000 2.200
Tl 6.744 8.406 2.200
Tl 8.406 5.393 2.200
Tl 9.799 11.462 2.200
Tl 11.462 2.338 2.200
Cd 1.520 7.588 0.000
Cd 4.548 1.520 0.000
Cd 7.588 10.617 0.000
Cd 10.617 4.548 0.000
In 0.000 0.000 0.000
In 6.068 6.068 0.000



4
Lattice="2.507 1.447 6.414 -2.507 1.447 6.414 0.000 -2.895 6.414" Properties=species:S:1:pos:R:3 comment="KTlCdIn, relaxed, DFT PBE" e_form_ev_per_atom=-0.059 magmom_total_mub_per_atom=0.00 polymorph_energy_ev_per_atom=0.000 pbc="T T T"
K 0.000 0.000 0.000
Tl 0.000 0.000 4.139
Cd 0.000 0.000 8.761
In 0.000 0.000 15.376



18
Lattice="-4.051 5.468 6.755 4.051 -5.468 6.755 4.051 5.468 -6.755" Properties=species:S:1:pos:R:3 comment="KTl6CdIn, relaxed, DFT PBE" e_form_ev_per_atom=0.038 magmom_total_mub_per_atom=0.00 pbc="T T T"
K 0.000 2.734 2.718
K 4.051 2.734 4.037
Tl 2.483 0.064 1.743
Tl 5.619 0.064 1.743
Tl 4.051 -2.734 5.732
Tl 4.051 2.734 -0.243
Tl 2.483 5.531 -1.743
Tl 1.568 0.064 5.012
Tl 2.483 5.404 1.743
Tl 1.568 -0.064 8.498
Tl 0.000 2.734 6.998
Tl 0.000 8.201 1.023
Tl -1.568 5.404 5.012
Tl 1.568 5.404 5.012
Cd 0.000 0.000 0.000
Cd 0.000 5.468 0.000
In 2.026 2.734 -3.377
In 2.026 -2.734 3.377



4
Lattice="3.451 0.000 0.000 -0.004 5.725 0.000 -1.698 -2.846 5.617" Properties=species:S:1:pos:R:3 comment="KZnCdIn, relaxed, DFT PBE" e_form_ev_per_atom=0.059 magmom_total_mub_per_atom=0.00 polymorph_energy_ev_per_atom=0.087 pbc="T T T"
K 0.000 0.000 0.000
Zn 0.028 0.017 5.612
Cd 0.011 2.866 2.314
In 1.749 0.012 3.272



4
Lattice="3.637 0.000 0.000 0.000 4.075 0.000 -0.001 0.000 7.958" Properties=species:S:1:pos:R:3 comment="KZnCdIn, relaxed, DFT PBE" e_form_ev_per_atom=0.047 magmom_total_mub_per_atom=0.00 polymorph_energy_ev_per_atom=0.075 pbc="T T T"
K 0.000 0.000 0.000
Zn 1.819 2.037 2.480
Cd 1.813 2.037 5.472
In 3.631 0.000 3.664



4
Lattice="3.663 0.000 0.000 0.010 5.383 0.000 1.811 1.282 5.803" Properties=species:S:1:pos:R:3 comment="KZnCdIn, relaxed, DFT PBE" e_form_ev_per_atom=0.056 magmom_total_mub_per_atom=0.00 polymorph_energy_ev_per_atom=0.084 pbc="T T T"
K 0.000 0.000 0.000
Zn 3.654 1.265 3.029
Cd 1.822 2.708 1.469
In 3.651 4.028 3.949



4
Lattice="2.393 1.382 6.325 -2.393 1.382 6.325 0.000 -2.764 6.325" Properties=species:S:1:pos:R:3 comment="KZnCdIn, relaxed, DFT PBE" e_form_ev_per_atom=-0.029 magmom_total_mub_per_atom=0.00 polymorph_energy_ev_per_atom=0.000 pbc="T T T"
K 0.000 0.000 0.000
Zn 0.000 0.000 3.619
Cd 0.000 0.000 10.035
In 0.000 0.000 15.183



4
Lattice="4.849 0.000 0.000 -0.295 5.069 0.000 -1.978 -1.711 5.006" Properties=species:S:1:pos:R:3 comment="KZnCdIn, relaxed, DFT PBE" e_form_ev_per_atom=0.045 magmom_total_mub_per_atom=0.00 polymorph_energy_ev_per_atom=0.074 pbc="T T T"
K 0.000 0.000 0.000
Zn 2.512 0.233 2.377
Cd 0.072 1.062 3.423
In 2.122 2.750 1.493



4
Lattice="0.000 3.773 3.773 3.773 0.000 3.773 3.773 3.773 0.000" Properties=species:S:1:pos:R:3 comment="KZnCdIn, relaxed, DFT PBE" e_form_ev_per_atom=0.067 magmom_total_mub_per_atom=0.00 polymorph_energy_ev_per_atom=0.095 pbc="T T T"
K 0.000 0.000 0.000
Zn 5.659 5.659 5.659
Cd 1.886 1.886 1.886
In 3.773 3.773 3.773



5
Lattice="5.365 0.000 0.000 0.000 5.365 0.000 0.000 0.000 5.400" Properties=species:S:1:pos:R:3 comment="KZnCdIn2, relaxed, DFT PBE" e_form_ev_per_atom=0.087 magmom_total_mub_per_atom=0.00 pbc="T T T"
K 0.000 0.000 0.000
Zn 2.682 2.682 2.700
Cd 2.682 2.682 0.000
In 0.000 2.682 2.700
In 2.682 0.000 2.700



4
Lattice="3.368 0.000 0.000 0.000 3.867 0.000 0.000 0.000 8.493" Properties=species:S:1:pos:R:3 comment="KZnCdIn, relaxed, DFT PBE" e_form_ev_per_atom=0.036 magmom_total_mub_per_atom=0.00 polymorph_energy_ev_per_atom=0.065 pbc="T T T"
K 0.000 0.000 0.000
Zn 1.684 1.933 2.460
Cd 0.000 0.000 3.806
In 1.684 1.933 5.749



5
Lattice="5.332 0.000 0.000 0.000 5.332 0.000 0.000 0.000 5.316" Properties=species:S:1:pos:R:3 comment="KZnCd2In, relaxed, DFT PBE" e_form_ev_per_atom=0.064 magmom_total_mub_per_atom=0.00 pbc="T T T"
K 0.000 0.000 0.000
Zn 2.666 2.666 2.658
Cd 0.000 2.666 2.658
Cd 2.666 0.000 2.658
In 2.666 2.666 0.000



10
Lattice="4.793 0.000 0.000 0.000 4.793 0.000 0.000 0.000 12.639" Properties=species:S:1:pos:R:3 comment="K2ZnCd4In3, relaxed, DFT PBE" e_form_ev_per_atom=-0.052 magmom_total_mub_per_atom=0.00 pbc="T T T"
K 0.000 2.397 3.098
K 2.397 0.000 9.541
Zn 2.397 2.397 0.000
Cd 0.000 0.000 6.319
Cd 0.000 2.397 10.986
Cd 2.397 0.000 1.653
Cd 2.397 2.397 6.319
In 0.000 0.000 0.000
In 0.000 2.397 8.091
In 2.397 0.000 4.548



4
Lattice="4.210 -2.384 0.000 4.210 2.384 0.000 -2.772 0.000 6.232" Properties=species:S:1:pos:R:3 comment="KZnCdIn, relaxed, DFT PBE" e_form_ev_per_atom=-0.020 magmom_total_mub_per_atom=0.00 polymorph_energy_ev_per_atom=0.009 pbc="T T T"
K 0.000 0.000 0.000
Zn 0.050 0.000 3.509
Cd 5.640 0.000 2.514
In 2.846 0.000 3.677



14
Lattice="-2.384 5.663 6.959 2.384 -5.663 6.959 2.384 5.663 -6.959" Properties=species:S:1:pos:R:3 comment="La3Cd3In8, relaxed, DFT PBE" e_form_ev_per_atom=-0.354 magmom_total_mub_per_atom=0.00 pbc="T T T"
La 0.000 0.000 0.000
La 0.000 0.000 4.223
La 0.000 0.000 9.695
Cd 2.384 3.637 0.000
Cd 0.000 5.663 0.000
Cd 0.000 2.026 6.959
In 2.384 -1.463 2.057
In 2.384 -2.422 4.941
In 2.384 1.463 2.057
In 0.000 3.241 2.018
In 2.384 2.422 4.941
In 0.000 4.200 4.902
In 0.000 8.085 2.018
In 0.000 7.125 4.902



12
Lattice="0.000 5.026 8.680 3.892 0.000 8.680 3.892 5.026 0.000" Properties=species:S:1:pos:R:3 comment="La2CdIn3, relaxed, DFT PBE" e_form_ev_per_atom=-0.487 magmom_total_mub_per_atom=0.00 pbc="T T T"
La 5.849 5.026 8.680
La 1.946 2.513 4.340
La 5.838 7.539 13.020
La 1.934 5.026 8.680
Cd 3.892 5.026 2.898
Cd 3.892 5.026 14.462
In 3.892 2.507 7.225
In 3.892 5.026 5.774
In 3.892 2.507 10.136
In 3.892 7.545 7.225
In 3.892 5.026 11.587
In 3.892 7.545 10.136



8
Lattice="-3.387 3.387 4.733 3.387 -3.387 4.733 3.387 3.387 -4.733" Properties=species:S:1:pos:R:3 comment="La2CdIn5, relaxed, DFT PBE" e_form_ev_per_atom=-0.446 magmom_total_mub_per_atom=0.00 pbc="T T T"
La 3.387 0.000 0.000
La 0.000 3.387 0.000
Cd 0.000 0.000 4.728
In 0.000 0.000 0.004
In 1.692 1.692 7.099
In -1.692 1.692 7.099
In 1.692 -1.692 7.099
In 1.695 1.695 2.366



14
Lattice="8.835 -2.436 0.000 8.835 2.436 0.000 -6.222 0.000 8.458" Properties=species:S:1:pos:R:3 comment="La3Cd7In4, relaxed, DFT PBE" e_form_ev_per_atom=-0.362 magmom_total_mub_per_atom=0.00 pbc="T T T"
La 0.000 0.000 0.000
La 3.383 0.000 2.489
La 8.066 0.000 5.968
Cd -3.111 0.000 4.229
Cd -0.089 0.000 3.620
Cd 0.028 0.000 8.343
Cd 4.599 0.000 5.709
Cd 6.850 0.000 2.748
Cd 11.421 0.000 0.115
Cd 11.538 0.000 4.837
In -2.790 0.000 7.283
In 1.675 0.000 6.062
In 9.774 0.000 2.396
In 14.239 0.000 1.174